[1]
# Na2TlCo

An optimized crystal structure of Na2TlCo (PBE, OQMD via LeMat-Bulk).

Results
Total magnetic moment, μB per formula unit: 1.1
E, eV/atom: -2.580

Unit cell a=4.807 b=4.807 c=4.807 alpha=60.00 beta=60.00 gamma=60.00
Fractional positions:
Na (0.000, 0.000, 0.000)
Tl (0.500, 0.500, 0.500)
Na (0.750, 0.750, 0.750)
Co (0.250, 0.250, 0.250)



[2]
# NaTlCo

An optimized crystal structure of NaTlCo (PBE, OQMD via LeMat-Bulk).

Results
Total magnetic moment, μB per formula unit: 1.6
E, eV/atom: -2.585

Unit cell a=4.748 b=4.748 c=4.748 alpha=60.00 beta=60.00 gamma=60.00
Fractional positions:
Co (0.250, 0.250, 0.250)
Na (0.000, 0.000, 0.000)
Tl (0.750, 0.750, 0.750)